(1)
Density functional theory data (PBE) for an optimized crystal structure of Rb2LaW.

Excess energy over the best structure of this formula in the dataset ... 0.0 meV per atom
Crystal system ... tetragonal
Density ... 5.547 g/cm3
Energy of formation from the pure elements ... 1510 meV/atom

a = 4.605 Å, b = 4.605 Å, c = 14.313 Å
α = 80.74°, β = 80.74°, γ = 90.00°
Each line ends with the local moment (μB).
Fractional coordinates of all 8 atoms:
Rb 0.631 0.125 0.250  -0.02
Rb 0.119 0.625 0.250  -0.02
Rb 0.375 0.369 0.750  -0.02
Rb 0.875 0.881 0.750  -0.02
W 0.000 0.000 0.000  2.09
W 0.750 0.250 0.500  2.08
La 0.500 0.500 0.000  0.04
La 0.250 0.750 0.500  0.04

=====

(2)
Density functional theory data (PBE) for an optimized crystal structure of ReTeW2.

Crystal system ... monoclinic
Density ... 16.400 g/cm3
ΔE_f (raw) ... 0.64 eV per atom

a = 5.090 Å, b = 5.090 Å, c = 4.657 Å
α = 79.05°, β = 79.05°, γ = 35.70°
Fractional coordinates of all 4 atoms:
Re 0.750 0.750 0.750
Te 0.250 0.250 0.250
W 0.008 0.008 0.972
W 0.492 0.492 0.528

=====

(3)
Density functional theory data (PBE) for an optimized crystal structure of Pt4PbAu.

Crystal system ... cubic
Density ... 17.579 g/cm3
Energy of formation from the pure elements ... 1 meV/atom

a = 5.409 Å, b = 5.409 Å, c = 5.409 Å
α = 60.00°, β = 60.00°, γ = 60.00°
Fractional coordinates of all 6 atoms:
Au 0.250 0.250 0.250
Pb 0.000 0.000 0.000
Pt 0.625 0.126 0.625
Pt 0.126 0.625 0.625
Pt 0.625 0.625 0.625
Pt 0.625 0.625 0.126

=====

(4)
Density functional theory data (PBE) for an optimized crystal structure of YZr2Ge2.

Excess energy over the best structure of this formula in the dataset ... 71.8 meV per atom
Crystal system ... tetragonal
Density ... 6.274 g/cm3
Energy of formation from the pure elements ... -659 meV/atom

a = 4.224 Å, b = 4.224 Å, c = 6.865 Å
α = 72.08°, β = 72.08°, γ = 90.00°
Fractional coordinates of all 5 atoms:
Y 0.000 0.000 0.000
Ge 0.400 0.400 0.201
Ge 0.600 0.600 0.799
Zr 0.750 0.250 0.500
Zr 0.250 0.750 0.500

=====

no.,total moment (μB/f.u.)
1,2.52
2,0.00
3,0.00
4,0.00